DFT (PBE-GGA) results for a geometry-optimized BeNbSN2 structure.

a = 3.918 Å, b = 3.918 Å, c = 5.291 Å
α = 90.00°, β = 90.00°, γ = 90.00°
Element x y z (fractional)
Be 0.000 0.000 0.000
Nb 0.500 0.500 0.500
S 0.500 0.500 0.000
N 0.000 0.500 0.500
N 0.500 0.000 0.500

Values from the calculation:
Space group: P4/mmm (123)
Formation energy without anion corrections (eV per atom): 0.5797
Magnetization (μB per formula unit): 0.65
Calculated total energy (eV per atom): -6.335
Distance to the lowest polymorph of the same formula (eV/f.u.): 0.00
Theoretical density (Mg/m³): 3.3
Crystal system: tetragonal
DOS(E_F) (states/eV/cell): 1.66

---

DFT (PBE-GGA) results for a geometry-optimized Be2TlNi structure.

a = 7.941 Å, b = 7.941 Å, c = 7.941 Å
α = 149.63°, β = 149.63°, γ = 43.49°
Element x y z (fractional)
Be 0.000 0.000 0.000
Be 0.000 0.000 0.500
Be 0.000 0.500 0.000
Be 0.500 0.000 0.500
Tl 0.375 0.625 0.750
Tl 0.625 0.375 0.250
Ni 0.125 0.875 0.250
Ni 0.875 0.125 0.750

Values from the calculation:
Space group: I4_1/amd (141)
Magnetization (μB per formula unit): 0.00
Energy relative to the elements (meV per atom): 447
Calculated total energy (eV per atom): -3.453
Distance to the lowest polymorph of the same formula (eV/f.u.): 1.17
Theoretical density (Mg/m³): 7.3
Crystal system: tetragonal
DOS(E_F) (states/eV/cell): 4.08

---

DFT (PBE-GGA) results for a geometry-optimized NaLa3Er3Se8 structure.

a = 8.361 Å, b = 8.361 Å, c = 8.361 Å
α = 59.34°, β = 59.34°, γ = 59.34°
Element x y z (fractional)
Na 0.000 0.000 0.000
La 0.000 0.000 0.500
La 0.000 0.500 0.000
La 0.500 0.000 0.000
Er 0.000 0.500 0.500
Er 0.500 0.000 0.500
Er 0.500 0.500 0.000
Se 0.252 0.252 0.734
Se 0.252 0.734 0.252
Se 0.257 0.257 0.257
Se 0.266 0.748 0.748
Se 0.734 0.252 0.252
Se 0.743 0.743 0.743
Se 0.748 0.266 0.748
Se 0.748 0.748 0.266

Values from the calculation:
Space group: R-3m (166)
Formation energy without anion corrections (eV per atom): -1.8384
Magnetization (μB per formula unit): 0.00
Calculated total energy (eV per atom): -5.683
Theoretical density (Mg/m³): 6.4
Crystal system: trigonal
DOS(E_F) (states/eV/cell): 4.85

---

DFT (PBE-GGA) results for a geometry-optimized NdErZnCu structure.

a = 5.044 Å, b = 5.044 Å, c = 5.044 Å
α = 60.00°, β = 60.00°, γ = 60.00°
Element x y z (fractional)
Nd 0.000 0.000 0.000
Er 0.500 0.500 0.500
Zn 0.250 0.250 0.250
Cu 0.750 0.750 0.750

Values from the calculation:
Space group: F-43m (216)
Magnetization (μB per formula unit): 0.00
Energy relative to the elements (meV per atom): -251
Calculated total energy (eV per atom): -3.927
Distance to the lowest polymorph of the same formula (eV/f.u.): 0.05
Theoretical density (Mg/m³): 8.1
Crystal system: cubic
DOS(E_F) (states/eV/cell): 2.16

---

DFT (PBE-GGA) results for a geometry-optimized Ho6Ge2Te3Se structure.

a = 9.526 Å, b = 9.526 Å, c = 8.549 Å
α = 104.24°, β = 104.24°, γ = 25.50°
Element x y z (fractional)
Ho 0.011 0.011 0.241
Ho 0.326 0.326 0.435
Ho 0.336 0.336 0.894
Ho 0.664 0.664 0.106
Ho 0.674 0.674 0.565
Ho 0.989 0.989 0.759
Ge 0.167 0.167 0.331
Ge 0.833 0.833 0.669
Te 0.164 0.164 0.833
Te 0.500 0.500 0.500
Te 0.836 0.836 0.167
Se 0.500 0.500 0.000

Values from the calculation:
Space group: C2/m (12)
Formation energy without anion corrections (eV per atom): -1.3221
Magnetization (μB per formula unit): 0.00
Calculated total energy (eV per atom): -5.456
Theoretical density (Mg/m³): 8.2
Crystal system: monoclinic
DOS(E_F) (states/eV/cell): 4.16

---

DFT (PBE-GGA) results for a geometry-optimized Nd6USe8 structure.

a = 8.426 Å, b = 8.426 Å, c = 8.426 Å
α = 60.00°, β = 60.00°, γ = 60.00°
Element x y z (fractional)
Nd 0.000 0.000 0.500
Nd 0.000 0.500 0.000
Nd 0.000 0.500 0.500
Nd 0.500 0.000 0.000
Nd 0.500 0.000 0.500
Nd 0.500 0.500 0.000
U 0.000 0.000 0.000
Se 0.248 0.248 0.752
Se 0.248 0.752 0.248
Se 0.248 0.752 0.752
Se 0.250 0.250 0.250
Se 0.750 0.750 0.750
Se 0.752 0.248 0.248
Se 0.752 0.248 0.752
Se 0.752 0.752 0.248

Values from the calculation:
Space group: Fm-3m (225)
Formation energy without anion corrections (eV per atom): -1.7306
Magnetization (μB per formula unit): 3.82
Calculated total energy (eV per atom): -6.249
Theoretical density (Mg/m³): 6.8
Crystal system: cubic
DOS(E_F) (states/eV/cell): 15.27

---

DFT (PBE-GGA) results for a geometry-optimized BaSrSb2 structure.

a = 3.689 Å, b = 4.539 Å, c = 8.393 Å
α = 90.00°, β = 90.00°, γ = 90.00°
Element x y z (fractional)
Ba 0.000 0.000 0.000
Sr 0.000 0.000 0.500
Sb 0.500 0.500 0.263
Sb 0.500 0.500 0.737

Values from the calculation:
Space group: Pmmm (47)
Formation energy without anion corrections (eV per atom): -0.8561
Magnetization (μB per formula unit): 0.00
Calculated total energy (eV per atom): -3.818
Distance to the lowest polymorph of the same formula (eV/f.u.): 0.17
Theoretical density (Mg/m³): 5.5
Crystal system: orthorhombic
DOS(E_F) (states/eV/cell): 1.69

---

DFT (PBE-GGA) results for a geometry-optimized CsUS4 structure.

a = 8.336 Å, b = 8.336 Å, c = 7.270 Å
α = 96.27°, β = 96.27°, γ = 54.13°
Element x y z (fractional)
Cs 0.199 0.199 0.192
Cs 0.801 0.801 0.808
U 0.461 0.461 0.732
U 0.539 0.539 0.268
S 0.189 0.672 0.460
S 0.275 0.725 0.000
S 0.296 0.296 0.736
S 0.328 0.811 0.540
S 0.672 0.189 0.460
S 0.704 0.704 0.264
S 0.725 0.275 0.000
S 0.811 0.328 0.540

Values from the calculation:
Space group: C2/m (12)
Formation energy without anion corrections (eV per atom): -1.0861
Magnetization (μB per formula unit): 1.00
Calculated total energy (eV per atom): -5.861
Distance to the lowest polymorph of the same formula (eV/f.u.): 0.00
Theoretical density (Mg/m³): 4.1
Crystal system: monoclinic
DOS(E_F) (states/eV/cell): 3.86

---

DFT (PBE-GGA) results for a geometry-optimized Na5Ca4P4O16F structure.

a = 8.742 Å, b = 8.742 Å, c = 8.742 Å
α = 95.63°, β = 95.63°, γ = 143.50°
Element x y z (fractional)
Na 0.000 0.000 0.000
Na 0.097 0.579 0.705
Na 0.421 0.125 0.518
Na 0.608 0.903 0.482
Na 0.875 0.392 0.295
Ca 0.301 0.368 0.710
Ca 0.409 0.699 0.067
Ca 0.632 0.342 0.933
Ca 0.658 0.591 0.290
P 0.118 0.264 0.354
P 0.237 0.882 0.146
P 0.736 0.091 0.854
P 0.909 0.763 0.646
O 0.020 0.257 0.862
O 0.072 0.352 0.484
O 0.157 0.719 0.981
O 0.215 0.031 0.740
O 0.281 0.262 0.439
O 0.291 0.474 0.260
O 0.395 0.158 0.138
O 0.412 0.928 0.280
O 0.526 0.785 0.816
O 0.648 0.132 0.720
O 0.738 0.176 0.019
O 0.743 0.605 0.763
O 0.824 0.843 0.561
O 0.842 0.980 0.237
O 0.868 0.588 0.516
O 0.969 0.709 0.184
F 0.500 0.500 0.000

Values from the calculation:
Space group: I-4 (82)
Formation energy without anion corrections (eV per atom): -2.6488
Magnetization (μB per formula unit): 0.00
Calculated total energy (eV per atom): -6.564
Theoretical density (Mg/m³): 3.0
Crystal system: tetragonal
DOS(E_F) (states/eV/cell): 0.00

---

DFT (PBE-GGA) results for a geometry-optimized PaFeP2 structure.

a = 5.210 Å, b = 5.210 Å, c = 5.210 Å
α = 136.40°, β = 136.40°, γ = 63.36°
Element x y z (fractional)
Pa 0.000 0.000 0.000
Fe 0.250 0.750 0.500
P 0.366 0.366 0.000
P 0.634 0.634 0.000

Values from the calculation:
Space group: I-4m2 (119)
Magnetization (μB per formula unit): 0.69
Energy relative to the elements (meV per atom): -908
Calculated total energy (eV per atom): -8.103
Theoretical density (Mg/m³): 8.7
Crystal system: tetragonal
DOS(E_F) (states/eV/cell): 3.18

---

DFT (PBE-GGA) results for a geometry-optimized NbNiAu3 structure.

a = 4.699 Å, b = 4.699 Å, c = 4.699 Å
α = 90.00°, β = 90.00°, γ = 90.00°
Element x y z (fractional)
Nb 0.000 0.000 0.000
Ni 0.500 0.500 0.500
Au 0.000 0.500 0.500
Au 0.500 0.000 0.500
Au 0.500 0.500 0.000

Values from the calculation:
Space group: Pm-3m (221)
Magnetization (μB per formula unit): 3.42
Energy relative to the elements (meV per atom): 863
Calculated total energy (eV per atom): -4.274
Distance to the lowest polymorph of the same formula (eV/f.u.): 0.00
Theoretical density (Mg/m³): 11.9
Crystal system: cubic
DOS(E_F) (states/eV/cell): 4.71

---

DFT (PBE-GGA) results for a geometry-optimized Ce2CdCoGe structure.

a = 7.237 Å, b = 4.435 Å, c = 7.384 Å
α = 90.00°, β = 106.81°, γ = 90.00°
Element x y z (fractional)
Ce 0.041 0.250 0.345
Ce 0.306 0.750 0.095
Ce 0.694 0.250 0.905
Ce 0.959 0.750 0.655
Cd 0.406 0.750 0.586
Cd 0.594 0.250 0.414
Co 0.025 0.250 0.944
Co 0.975 0.750 0.056
Ge 0.263 0.250 0.778
Ge 0.737 0.750 0.222

Values from the calculation:
Space group: P2_1/m (11)
Magnetization (μB per formula unit): 0.53
Energy relative to the elements (meV per atom): -370
Calculated total energy (eV per atom): -5.271
Theoretical density (Mg/m³): 7.7
Crystal system: monoclinic
DOS(E_F) (states/eV/cell): 16.83

---

> What is the formula in the first record?

BeNbSN2

---

> What is the theoretical density in the tenth record?

8.7 Mg/m³

---

> What is the DOS(E_F) in the second record?

4.08 states/eV/cell